Record 1
DFT (GGA-PBEsol) results for crystalline SrCuAu2 at its relaxed geometry.

Cell and atoms, written as POSCAR:
```
SrCuAu2
1.0
3.406 0.000 0.000
0.000 3.406 0.000
0.000 0.000 6.813
Au Cu Sr
2 1 1
direct
0.000 0.000 0.802
0.000 0.000 0.198
0.500 0.500 0.000
0.500 0.500 0.500
```

* E_tot: -3.775 eV per atom
* crystal system: tetragonal
* V: 79.0 Å³ per cell
* energy of formation: -1.08 eV per formula unit

***

Record 2
DFT (GGA-PBEsol) results for crystalline Sr2CuAu at its relaxed geometry.

Cell and atoms, written as POSCAR:
```
Sr2CuAu
1.0
-0.881 -4.115 1.126
3.815 -0.184 2.309
-2.284 3.913 4.086
Sr Cu Au
2 1 1
direct
0.267 0.000 0.534
0.985 0.500 0.970
0.687 0.500 0.373
0.562 0.000 0.123
```

* E_tot: -3.375 eV per atom
* crystal system: orthorhombic
* V: 110.8 Å³ per cell
* energy of formation: -1.56 eV per formula unit